Li2ZnSb: optimized geometry, PBEsol.

Cell lengths 6.640, 6.640, 6.640 Å; angles 90.00, 90.00, 90.00 degrees
Space group F-43m (No. 216)
Unique sites:
1 Li 0.000 0.000 0.000 (multiplicity 4)
2 Li 0.250 0.250 0.250 (multiplicity 4)
3 Zn 0.250 0.250 0.750 (multiplicity 4)
4 Sb 0.000 0.000 0.500 (multiplicity 4)

calculated volume = 73.2 Å³/f.u.
D(E_F) = 11.714 states/eV per cell
spin magnetization = 0.000 μB per atom
energy relative to the elements, uncorrected = -234 meV per atom